Entry from Alexandria: crystalline Cu2IrBr at its relaxed geometry (PBE).

The structure belongs to space group Immm (No. 71); the cell edges are 2.993, 4.554 and 8.931 Å and the angles 90.00°, 90.00° and 90.00°. The distinct sites, in fractional coordinates, are Cu at (0.000, 0.000, 0.246), Ir at (0.000, 0.500, 0.500) and Br at (0.000, 0.500, 0.000).

The calculation puts the formation energy (no corrections) at 0.687 eV per atom. The spin magnetization comes out at 0.0 μB/cell. The offset from the most stable computed form comes out at 289 meV/atom.


Entry from Alexandria: crystalline Sc3CdHg at its relaxed geometry (PBE).

The structure belongs to space group Pm-3m (No. 221); the cell edges are 5.290, 5.290 and 5.290 Å and the angles 90.00°, 90.00° and 90.00°. The distinct sites, in fractional coordinates, are Sc at (0.000, 0.000, 0.500), Cd at (0.500, 0.500, 0.500) and Hg at (0.000, 0.000, 0.000).

The spin magnetization comes out at 0.0 μB/cell. The offset from the most stable computed form comes out at 599 meV/atom. The formation energy is 326 meV per atom.